(1)
# Tb5YEr | the Alexandria database | PBE-GGA | relaxed
# Polymorph energy (0 for the lowest one)   0 meV/atom
# Energy   -4.69 eV per atom
# Spin magnetization   0.00 μB per atom
# Energy of formation from the pure elements   191 meV/atom
data_Tb5YEr
_cell_length_a 11.723
_cell_length_b 6.736
_cell_length_c 12.269
_cell_angle_alpha 90.00
_cell_angle_beta 111.18
_cell_angle_gamma 90.00
_space_group_name_H-M_alt 'C 1 2/c 1'
_space_group_IT_number 15
_space_group_name_Hall '-C 2yc'
loop_
_atom_site_label
_atom_site_type_symbol
_atom_site_fract_x
_atom_site_fract_y
_atom_site_fract_z
_atom_site_occupancy
Tb1 Tb 0.000 0.082 0.250 1
Tb2 Tb 0.080 0.236 0.003 1
Tb3 Tb 0.218 0.134 0.743 1
Y1 Y 0.000 0.472 0.750 1
Er1 Er 0.250 0.250 0.500 1

---

(2)
# MgZrCr2 | the Alexandria database | PBE-GGA | relaxed
# Energy   -6.78 eV per atom
# Spin magnetization   0.47 μB per atom
# Energy of formation from the pure elements   572 meV/atom
data_MgZrCr2
_cell_length_a 3.237
_cell_length_b 4.533
_cell_length_c 8.948
_cell_angle_alpha 90.00
_cell_angle_beta 90.00
_cell_angle_gamma 90.00
_space_group_name_H-M_alt 'C m m m'
_space_group_IT_number 65
_space_group_name_Hall '-C 2 2'
loop_
_atom_site_label
_atom_site_type_symbol
_atom_site_fract_x
_atom_site_fract_y
_atom_site_fract_z
_atom_site_occupancy
Mg1 Mg 0.000 0.000 0.000 1
Zr1 Zr 0.000 0.000 0.500 1
Cr1 Cr 0.000 0.500 0.254 1

---

(3)
# HoZn4Ag | the Alexandria database | PBE-GGA | relaxed
# Polymorph energy (0 for the lowest one)   5 meV/atom
# Energy   -2.27 eV per atom
# Spin magnetization   0.00 μB per atom
# Energy of formation from the pure elements   -182 meV/atom
data_HoZn4Ag
_cell_length_a 7.492
_cell_length_b 7.492
_cell_length_c 7.492
_cell_angle_alpha 90.00
_cell_angle_beta 90.00
_cell_angle_gamma 90.00
_space_group_name_H-M_alt 'F -4 3 m'
_space_group_IT_number 216
_space_group_name_Hall 'F -4 2 3'
loop_
_atom_site_label
_atom_site_type_symbol
_atom_site_fract_x
_atom_site_fract_y
_atom_site_fract_z
_atom_site_occupancy
Ho1 Ho 0.000 0.000 0.000 1
Zn1 Zn 0.125 0.125 0.375 1
Ag1 Ag 0.250 0.250 0.750 1

---

(4)
# AcTbSc | the Alexandria database | PBE-GGA | relaxed
# Polymorph energy (0 for the lowest one)   64 meV/atom
# Energy   -4.85 eV per atom
# Spin magnetization   0.00 μB per atom
# Energy of formation from the pure elements   171 meV/atom
data_AcTbSc
_cell_length_a 5.6867
_cell_length_b 5.6867
_cell_length_c 3.5382
_cell_angle_alpha 90.00
_cell_angle_beta 90.00
_cell_angle_gamma 120.00
_space_group_name_H-M_alt 'P -6 m 2'
_space_group_IT_number 187
_space_group_name_Hall 'P -6 2'
loop_
_atom_site_label
_atom_site_type_symbol
_atom_site_fract_x
_atom_site_fract_y
_atom_site_fract_z
_atom_site_occupancy
Ac1 Ac 0.0000 0.0000 0.0000 1
Tb1 Tb 0.6667 0.3333 0.5000 1
Sc1 Sc 0.3333 0.6667 0.0000 1

---

DOS at the Fermi energy readings, ordered: 32.8; 9.9; 11.2; 4.8 states/eV/cell